A plane-wave DFT calculation with PBE+U was carried out for crystalline Sr4PrMn5O15 at its relaxed geometry.

Cell lengths 8.7000, 8.7000, 6.7238 Å; angles 74.89, 74.89, 36.78 degrees
With the nearest neighbours (Å) after each atom.
Sites, in units of the cell vectors:
O1 0.0000 0.5000 0.0000  2 Mn 1.93
O2 0.3032 0.7933 0.7929  2 Mn 1.94
O3 0.7933 0.3032 0.7929  2 Mn 1.94
O4 0.1120 0.6003 0.5994  2 Mn 1.93-1.96
O5 0.3997 0.8880 0.4006  2 Mn 1.93-1.96
O6 0.4018 0.4018 0.8956  2 Mn 1.94-1.96
O7 0.2018 0.2018 0.6914  2 Mn 1.93-1.95
O8 0.5982 0.5982 0.1044  2 Mn 1.94-1.96
O9 0.8880 0.3997 0.4006  2 Mn 1.93-1.96
O10 0.2067 0.6968 0.2071  2 Mn 1.94
O11 0.6003 0.1120 0.5994  2 Mn 1.93-1.96
O12 0.7982 0.7982 0.3086  2 Mn 1.93-1.95
O13 0.0000 0.0000 0.5000  2 Mn 1.96
O14 0.5000 0.0000 0.0000  2 Mn 1.93
O15 0.6968 0.2067 0.2071  2 Mn 1.94
Mn1 0.2994 0.2994 0.8016  6 O 1.93-1.96
Mn2 0.8992 0.8992 0.4005  6 O 1.93-1.96
Mn3 0.5000 0.5000 0.0000  6 O 1.94
Mn4 0.7006 0.7006 0.1984  6 O 1.93-1.96
Mn5 0.1008 0.1008 0.5995  6 O 1.93-1.96
Sr1 0.3005 0.3005 0.2992  12 O 2.69-2.86
Sr2 0.6995 0.6995 0.7008  12 O 2.69-2.86
Sr3 0.1002 0.1002 0.1004  12 O 2.71-2.82
Sr4 0.8998 0.8998 0.8996  12 O 2.71-2.82
Pr1 0.5000 0.5000 0.5000  12 O 2.65-2.74

Properties
* calculated total energy: -0.51983 Ry per atom
* density of states at the Fermi level: 0.2918 states/eV/atom